Compound: CdSbBr2
Source: Alexandria
Functional: PBE-GGA
Structure: relaxed

Cell: 3.6150 3.6150 8.9804 Å, 90.00 90.00 90.00°
Closest atoms and distances in Å follow each position.
Fractional positions:
Cd (0.0000, 0.0000, 0.0000)  4 Br 3.00, 4 Sb 3.24
Sb (0.5000, 0.5000, 0.2223)  4 Br 3.17, 4 Cd 3.24
Br (0.0000, 0.0000, 0.4303)  4 Sb 3.17
Br (0.5000, 0.5000, 0.8261)  4 Cd 3.00

Summary:
Calculated volume (Å³ per cell): 117.4
Offset from the most stable computed form (eV/atom): 0.157
SG: P4mm, No. 99
D(E_F) (states/eV per cell): 0.61
E (eV per atom): -2.281
Formation energy without anion corrections (eV/atom): -0.1851